Crystalline BaMoSe2 at its relaxed geometry. Source: the Alexandria database, functional GGA-PBE.

Structure (POSCAR):
```
BaMoSe2
1.0
-1.770 1.875 7.317
1.770 -1.875 7.317
1.770 1.875 -7.317
Ba Mo Se
1 1 2
Direct
0.000 0.000 0.000
0.250 0.750 0.500
0.374 0.374 0.000
0.678 0.178 0.500
```

Output
**E_form (uncorrected)**: -520 meV per atom
**DOS(E_F)**: 0.9317 states/eV/atom
**Distance to the lowest polymorph of the same formula**: 240 meV/atom
**Total energy**: -5.451 eV/atom